(1)
{"formula": "BeNi2C", "functional": "PBE", "state": "optimized geometry", "spacegroup": "No. 122", "formation_enthalpy_0k_mev_per_atom": 237, "e_tot_ev_per_atom": -5.891, "cell": [[-2.001, 6.204, 1.435], [-0.499, -1.652, 6.448], [0.439, 2.762, 4.197]], "species": ["Ni", "Ni", "Ni", "Ni", "C", "C", "Be", "Be"], "fractional_positions": [[0.763, 0.125, 0.250], [0.987, 0.625, 0.250], [0.375, 0.237, 0.750], [0.875, 0.013, 0.750], [0.000, 0.000, 0.000], [0.750, 0.250, 0.500], [0.500, 0.500, 0.000], [0.250, 0.750, 0.500]]}

=====

(2)
{"formula": "Fe2ReCl", "functional": "PBE", "state": "optimized geometry", "formation_energy_uncorrected_kcal_per_mol_atoms": 15.051, "spacegroup": "No. 8", "e_tot_ev_per_atom": -7.152, "cell": [[4.350, -0.005, -0.306], [3.468, 2.625, -0.306], [0.415, 0.139, 4.896]], "species": ["Re", "Fe", "Fe", "Cl"], "fractional_positions": [[0.532, 0.532, 0.448], [0.982, 0.982, 0.987], [0.269, 0.269, 0.241], [0.717, 0.717, 0.824]]}

=====

(3)
{"formula": "CaFe2Cu", "functional": "PBE", "state": "optimized geometry", "spacegroup": "No. 65", "formation_enthalpy_0k_mev_per_atom": 617, "e_tot_ev_per_atom": -5.139, "cell": [[-1.250, 1.633, -4.681], [-3.671, -2.140, 2.845], [-0.621, 2.398, 1.002]], "species": ["Ca", "Fe", "Fe", "Cu"], "fractional_positions": [[0.500, 0.000, 0.500], [0.000, 0.000, 0.000], [0.500, 0.500, 0.000], [0.000, 0.500, 0.500]]}

=====

(4)
{"formula": "BaY2Sb", "functional": "PBE", "state": "optimized geometry", "formation_energy_uncorrected_kcal_per_mol_atoms": -4.964, "spacegroup": "No. 160", "e_tot_ev_per_atom": -4.959, "cell": [[-2.973, -7.360, -7.031], [1.011, -8.566, -6.168], [-2.167, -9.736, -3.599]], "species": ["Ba", "Sb", "Y", "Y"], "fractional_positions": [[0.482, 0.482, 0.482], [0.740, 0.740, 0.740], [0.017, 0.017, 0.017], [0.261, 0.261, 0.261]]}

=====

(5)
{"formula": "Na2PrInI6", "functional": "PBE", "state": "optimized geometry", "formation_energy_uncorrected_kcal_per_mol_atoms": -26.536, "spacegroup": "No. 146", "e_tot_ev_per_atom": -3.096, "cell": [[8.213, 0.003, 0.001], [4.109, 7.111, 0.000], [4.108, 2.371, 7.525]], "species": ["Na", "Na", "Pr", "In", "I", "I", "I", "I", "I", "I"], "fractional_positions": [[0.515, 0.514, 0.456], [0.005, 0.005, 0.987], [0.326, 0.326, 0.023], [0.815, 0.815, 0.556], [0.587, 0.241, 0.242], [0.241, 0.931, 0.242], [0.931, 0.587, 0.242], [0.384, 0.728, 0.756], [0.728, 0.132, 0.756], [0.132, 0.384, 0.756]]}

=====

(6)
{"formula": "AlIrCl", "functional": "PBE", "state": "optimized geometry", "formation_energy_uncorrected_kcal_per_mol_atoms": -2.770, "spacegroup": "No. 107", "e_tot_ev_per_atom": -4.937, "cell": [[6.653, 0.304, 0.000], [5.201, 4.160, 0.000], [-5.927, -2.232, 2.060]], "species": ["Ir", "Al", "Cl"], "fractional_positions": [[0.625, 0.625, 0.000], [0.008, 0.008, 0.000], [0.367, 0.367, 0.000]]}

=====

(7)
{"formula": "PrNd2Mg2", "functional": "PBE", "state": "optimized geometry", "spacegroup": "No. 11", "formation_enthalpy_0k_mev_per_atom": -81, "e_tot_ev_per_atom": -3.582, "cell": [[3.849, 0.000, -0.517], [0.000, 5.602, 0.000], [-0.034, 0.000, 14.398]], "species": ["Pr", "Pr", "Nd", "Nd", "Nd", "Nd", "Mg", "Mg", "Mg", "Mg"], "fractional_positions": [[0.850, 0.750, 0.703], [0.150, 0.250, 0.297], [0.045, 0.750, 0.091], [0.955, 0.250, 0.909], [0.237, 0.750, 0.475], [0.763, 0.250, 0.525], [0.641, 0.750, 0.281], [0.359, 0.250, 0.719], [0.449, 0.750, 0.897], [0.551, 0.250, 0.103]]}

=====

(8)
{"formula": "CaGdTl", "functional": "PBE", "state": "optimized geometry", "spacegroup": "No. 156", "formation_enthalpy_0k_mev_per_atom": -170, "e_tot_ev_per_atom": -6.320, "cell": [[3.777, 0.000, 0.000], [0.000, 5.350, 0.000], [0.000, -2.675, 4.634]], "species": ["Tl", "Gd", "Ca"], "fractional_positions": [[0.690, 0.667, 0.333], [0.928, 0.000, 0.000], [0.383, 0.333, 0.667]]}

=====

Repeat the eighth record exactly.
{"formula": "CaGdTl", "functional": "PBE", "state": "optimized geometry", "spacegroup": "No. 156", "formation_enthalpy_0k_mev_per_atom": -170, "e_tot_ev_per_atom": -6.320, "cell": [[3.777, 0.000, 0.000], [0.000, 5.350, 0.000], [0.000, -2.675, 4.634]], "species": ["Tl", "Gd", "Ca"], "fractional_positions": [[0.690, 0.667, 0.333], [0.928, 0.000, 0.000], [0.383, 0.333, 0.667]]}